(1)
HoCdGe: relaxed, PBE-GGA.

Cell lengths 3.3931, 3.3931, 6.4379 Å; angles 105.28, 105.28, 90.00 degrees
Fractional coordinates of all 3 atoms:
1 Ho 0.6270 0.6270 0.2541
2 Cd 0.9377 0.9377 0.8754
3 Ge 0.2853 0.2853 0.5705

**SG**: I4mm
**D(E_F)**: 0.48 states/eV per atom
**Final energy**: -3.6215 eV per atom


(2)
LaHoCdGe: relaxed, PBE-GGA.

Cell lengths 5.2707, 5.2707, 5.2707 Å; angles 60.00, 60.00, 60.00 degrees
Fractional coordinates of all 4 atoms:
1 Ho 0.0000 0.0000 0.0000
2 Ge 0.2500 0.2500 0.2500
3 La 0.5000 0.5000 0.5000
4 Cd 0.7500 0.7500 0.7500

**SG**: F-43m
**D(E_F)**: 0.64 states/eV per atom
**Final energy**: -4.2453 eV per atom